Entry 1:
A plane-wave DFT calculation with PBE-GGA was carried out for crystalline DyCd12Hg6 at its relaxed geometry.

The space group is R-3 (No. 148, hexagonal axes) and the conventional cell measures 12.5392, 12.5392 and 10.1280 Å, with angles of 90.00, 90.00 and 120.00 degrees. Symmetry generates all atoms from Dy at (0.0000, 0.0000, 0.0000), Cd at (0.0018, 0.2652, 0.0024), Cd at (0.0696, 0.5314, 0.1213) and Hg at (0.0821, 0.1707, 0.7507).

The total energy comes out at -0.96 eV per atom. Its total moment is 0.00 μB/f.u. The value obtained for the offset from the most stable computed form is 0 meV/atom.


Entry 2:
A plane-wave DFT calculation with PBE-GGA was carried out for crystalline K3ZrSn at its relaxed geometry.

The space group is Pm-3m (No. 221) and the conventional cell measures 6.6489, 6.6489 and 6.6489 Å, with angles of 90.00, 90.00 and 90.00 degrees. Symmetry generates all atoms from K at (0.0000, 0.0000, 0.5000), Zr at (0.5000, 0.5000, 0.5000) and Sn at (0.0000, 0.0000, 0.0000).

The total energy comes out at -2.13 eV per atom. Its total moment is 3.02 μB/f.u. The value obtained for the offset from the most stable computed form is 0 meV/atom.


Entry 3:
A plane-wave DFT calculation with PBE-GGA was carried out for crystalline LiSnB at its relaxed geometry.

The space group is Pmmm (No. 47) and the conventional cell measures 3.7745, 4.2397 and 6.8314 Å, with angles of 90.00, 90.00 and 90.00 degrees. Symmetry generates all atoms from Li at (0.0000, 0.0000, 0.0000), Li at (0.5000, 0.0000, 0.5000), Sn at (0.0000, 0.5000, 0.2964) and B at (0.5000, 0.5000, 0.1181).

The total energy comes out at -3.99 eV per atom. Its total moment is 0.00 μB/f.u. The value obtained for the offset from the most stable computed form is 297 meV/atom.